ZrSb3 | meta-GGA SCAN | single point on PBEsol structure

theoretical density: 7.867 g cm⁻³
Fermi-level density of states: 0.49 states/eV/atom
E above lowest polymorph: 0.00 eV/f.u.
ΔE_f (raw): -0.2133 eV per atom

Lattice parameters (Å, degrees): 5.289 6.079 6.079 80.47 90.00 90.00
Fractional coordinates of all 8 atoms:
Zr  0.250  0.692  0.308
Zr  0.750  0.308  0.692
Sb  0.750  0.415  0.181
Sb  0.750  0.819  0.585
Sb  0.250  0.101  0.899
Sb  0.750  0.899  0.101
Sb  0.250  0.181  0.415
Sb  0.250  0.585  0.819

=====

ZrSb2 | meta-GGA SCAN | single point on PBEsol structure

theoretical density: 7.899 g cm⁻³
Fermi-level density of states: 0.70 states/eV/atom
ΔE_f (raw): -0.1202 eV per atom

Lattice parameters (Å, degrees): 3.094 5.125 5.125 120.00 90.00 90.00
Fractional coordinates of all 3 atoms:
Sb  0.728  0.333  0.667
Sb  0.272  0.667  0.333
Zr  0.000  0.000  0.000

=====

Sc | meta-GGA SCAN | single point on PBEsol structure

theoretical density: 3.176 g cm⁻³
Fermi-level density of states: 1.24 states/eV/atom
E above lowest polymorph: 0.00 eV/f.u.
energy of formation from the pure elements: 0 meV per atom

Lattice parameters (Å, degrees): 3.272 3.272 5.070 90.00 90.00 120.00
Fractional coordinates of all 2 atoms:
Sc  0.333  0.667  0.750
Sc  0.667  0.333  0.250

=====

Sc | meta-GGA SCAN | single point on PBEsol structure

theoretical density: 3.189 g cm⁻³
Fermi-level density of states: 1.48 states/eV/atom
E above lowest polymorph: 0.04 eV/f.u.
energy of formation from the pure elements: 35 meV per atom

Lattice parameters (Å, degrees): 3.236 3.236 10.322 90.00 90.00 120.00
Fractional coordinates of all 4 atoms:
Sc  0.000  0.000  0.000
Sc  0.667  0.333  0.750
Sc  0.333  0.667  0.250
Sc  0.000  0.000  0.500